<P>
{"formula": "ThScMn", "functional": "PBE-GGA", "state": "optimized geometry", "lattice_angstrom": [[3.297, 0.000, 0.000], [0.000, 3.297, 0.000], [-1.649, -1.649, 6.122]], "species": ["Mn", "Sc", "Th"], "frac_coords": [[0.671, 0.671, 0.341], [0.296, 0.296, 0.592], [0.033, 0.033, 0.067]], "sg": "I4mm, No. 107", "vol_a3_per_atom": 22.19}

<Q>
{"formula": "ThScMn", "functional": "PBE-GGA", "state": "optimized geometry", "lattice_angstrom": [[-4.962, -3.981, -1.322], [5.412, -0.122, -3.976], [2.862, -4.911, 4.046]], "species": ["Th", "Th", "Th", "Th", "Mn", "Mn", "Mn", "Mn", "Sc", "Sc", "Sc", "Sc"], "frac_coords": [[0.799, 0.597, 0.389], [0.299, 0.597, 0.111], [0.701, 0.403, 0.889], [0.201, 0.403, 0.611], [0.611, 0.221, 0.546], [0.389, 0.779, 0.454], [0.889, 0.779, 0.046], [0.111, 0.221, 0.954], [0.215, 0.930, 0.750], [0.285, 0.070, 0.250], [0.785, 0.070, 0.250], [0.715, 0.930, 0.750]], "sg": "Cmce, No. 64", "vol_a3_per_atom": 22.21}

Least stable: <P>

<P>
{"formula": "ScMn3Tl", "functional": "PBE-GGA", "state": "optimized geometry", "lattice_angstrom": [[-2.453, 2.852, 2.967], [-4.107, -1.912, -1.558], [0.256, -3.341, 3.424]], "species": ["Sc", "Mn", "Mn", "Mn", "Tl"], "frac_coords": [[0.000, 0.000, 0.000], [0.000, 0.500, 0.000], [0.000, 0.000, 0.500], [0.500, 0.000, 0.000], [0.500, 0.500, 0.500]], "sg": "Pm-3m, No. 221", "vol_a3_per_atom": 21.99}

<Q>
{"formula": "ScMn3Tl", "functional": "PBE-GGA", "state": "optimized geometry", "lattice_angstrom": [[-2.260, 2.539, 3.693], [-4.207, -2.626, -0.769], [1.543, -3.442, 3.311]], "species": ["Mn", "Mn", "Mn", "Sc", "Tl"], "frac_coords": [[0.500, 0.000, 0.000], [0.000, 0.500, 0.000], [0.000, 0.000, 0.500], [0.500, 0.500, 0.500], [0.000, 0.000, 0.000]], "sg": "Pm-3m, No. 221", "vol_a3_per_atom": 25.29}

Least stable: <P>